{
  "formula": "ZrNbCrO6",
  "functional": "GGA+U",
  "state": "relaxed",
  "final_energy_ev_per_atom": -8.828,
  "m_tot_mub_per_fu": 3.00,
  "cell": [[4.799, 0.000, 0.000], [0.000, 4.799, 0.000], [0.000, 0.000, 9.422]],
  "species": ["Zr", "Zr", "Nb", "Nb", "Cr", "Cr", "O", "O", "O", "O", "O", "O", "O", "O", "O", "O", "O", "O"],
  "fractional_positions": [[0.500, 0.500, 0.170], [0.000, 0.000, 0.670], [0.500, 0.500, 0.835], [0.000, 0.000, 0.335], [0.500, 0.500, 0.501], [0.000, 0.000, 0.001], [0.198, 0.802, 0.491], [0.802, 0.198, 0.491], [0.302, 0.302, 0.991], [0.698, 0.698, 0.991], [0.188, 0.812, 0.167], [0.812, 0.188, 0.167], [0.312, 0.312, 0.667], [0.688, 0.688, 0.667], [0.800, 0.200, 0.839], [0.200, 0.800, 0.839], [0.700, 0.700, 0.339], [0.300, 0.300, 0.339]]
}